A plane-wave DFT calculation with PBE-GGA was carried out for SrSi2Pd4 after structural relaxation.

a b c (Å): 8.000 8.000 3.792
angles (deg): 90.00 90.00 90.00
Space group P4_2/mnm (No. 136)
Inequivalent atoms, fractional coordinates:
Sr (0.000, 0.000, 0.000) (multiplicity 2)
Si (0.228, 0.228, 0.500) (multiplicity 4)
Pd (0.078, 0.673, 0.500) (multiplicity 8)

Calculated values
* uncorrected formation energy: -0.70 eV per atom
* Fermi-level density of states: 0.47 states/eV/atom
* crystal system: tetragonal
* calculated total energy: -76.387 eV per cell
* energy relative to the lowest polymorph listed for this composition: 0.000 eV/atom